# 1
Compound: KZrTeI2
Source: Alexandria
Functional: PBE-GGA
Structure: relaxed

Computed properties:
* space-group type: No. 123
* ΔE_f (raw): -0.853 eV per atom

Lattice parameters (Å, degrees): 5.878 5.878 5.655 90.00 90.00 90.00
Atoms (fractional coordinates):
I (0.000, 0.500, 0.000)
I (0.500, 0.000, 0.000)
Te (0.000, 0.000, 0.500)
Zr (0.000, 0.000, 0.000)
K (0.500, 0.500, 0.500)

---

# 2
Compound: KZrTeI2
Source: Alexandria
Functional: PBE-GGA
Structure: relaxed

Computed properties:
* space-group type: No. 123
* ΔE_f (raw): 0.583 eV per atom

Lattice parameters (Å, degrees): 6.002 6.002 6.169 90.00 90.00 90.00
Atoms (fractional coordinates):
K (0.000, 0.000, 0.000)
Zr (0.500, 0.500, 0.500)
I (0.500, 0.000, 0.000)
I (0.000, 0.500, 0.000)
Te (0.000, 0.000, 0.500)